# 1
Material: PrDyPb
Method: DFT, PBE
State: relaxed

a = 5.225 Å, b = 5.225 Å, c = 4.155 Å
α = 90.00°, β = 90.00°, γ = 120.00°
Sites, in units of the cell vectors:
Pr 0.000 0.000 0.000
Dy 0.333 0.667 0.502
Pb 0.667 0.333 0.493

Output
Excess energy over the best structure of this formula in the dataset (eV/atom): 0.207
Calculated total energy (eV per atom): -4.601

# 2
Material: BaZnCd2Pt2
Method: DFT, PBE
State: relaxed

a = 6.809 Å, b = 6.809 Å, c = 6.809 Å
α = 133.66°, β = 133.66°, γ = 67.62°
Sites, in units of the cell vectors:
Ba 0.000 0.000 0.000
Zn 0.500 0.500 0.000
Cd 0.250 0.750 0.500
Cd 0.750 0.250 0.500
Pt 0.287 0.287 0.000
Pt 0.713 0.713 0.000

Output
Calculated total energy (eV per atom): -3.178

no.,formation energy from the elements (eV/atom)
1,-0.238
2,-0.327